[1]
Below is a relaxed TePt2Br crystal, with properties calculated at the GGA-PBE level.

Total DFT energy (no corrections) ... -16.0 eV per formula unit
Symmetry ... Cmmm
ΔE_f (raw) ... 0.21 eV/atom
Energy above the most stable polymorph in this dataset ... 429.1 meV/atom

abc: 3.760 4.904 4.904
angles: 72.63 90.00 90.00
Positions (direct):
Br 0.500 0.750 0.750
Te 0.500 0.250 0.250
Pt 0.000 0.489 0.489
Pt 0.000 0.011 0.011

=====

[2]
Below is a relaxed V2TeAu2 crystal, with properties calculated at the GGA-PBE level.

Total DFT energy (no corrections) ... -27.3 eV per formula unit
Symmetry ... P4/mbm
ΔE_f (raw) ... 0.12 eV/atom

abc: 6.690 6.690 4.095
angles: 90.00 90.00 90.00
Positions (direct):
V 0.624 0.124 0.000
V 0.376 0.876 0.000
V 0.124 0.376 0.000
V 0.876 0.624 0.000
Au 0.345 0.155 0.500
Au 0.155 0.655 0.500
Au 0.845 0.345 0.500
Au 0.655 0.845 0.500
Te 0.500 0.500 0.000
Te 0.000 0.000 0.000

=====

[3]
Below is a relaxed PmNdIrPd crystal, with properties calculated at the GGA-PBE level.

Total DFT energy (no corrections) ... -26.4 eV per formula unit
Symmetry ... F-43m
Energy above the most stable polymorph in this dataset ... 31.6 meV/atom
ΔE_f ... -714 meV per atom

abc: 5.043 5.043 5.043
angles: 60.00 60.00 60.00
Positions (direct):
Pm 0.750 0.750 0.750
Nd 0.250 0.250 0.250
Ir 0.000 0.000 0.000
Pd 0.500 0.500 0.500

=====

[4]
Below is a relaxed InRe2Ni crystal, with properties calculated at the GGA-PBE level.

Total DFT energy (no corrections) ... -32.4 eV per formula unit
Symmetry ... R3m
ΔE_f ... 251 meV per atom

abc: 8.971 8.971 8.971
angles: 18.27 18.27 18.27
Positions (direct):
In 0.496 0.496 0.496
Re 0.002 0.002 0.002
Re 0.256 0.256 0.256
Ni 0.747 0.747 0.747

=====

The following ρ values (in Mg/m³) correspond, in order, to the records above: 11.50, 11.30, 10.76, 14.64.